First-principles (PBE) data for a relaxed structure of YScSb2I, as listed in the Alexandria database.

a b c (Å): 5.5159 5.5159 5.4982
angles (deg): 90.00 90.00 90.00
Last column: nearest neighbours and their distance in Å.
Atoms (fractional coordinates):
1 I 0.0000 0.0000 0.5000  2 Sc 2.75
2 Sb 0.0000 0.5000 0.0000  2 Sc 2.76
3 Sb 0.5000 0.0000 0.0000  2 Sc 2.76
4 Y 0.5000 0.5000 0.5000  8 Sb 3.89, 4 I 3.90
5 Sc 0.0000 0.0000 0.0000  2 I 2.75, 4 Sb 2.76

Computed properties:
E above lowest polymorph: 0 kJ/mol of formula units
energy relative to the elements, uncorrected: -0.23 eV/atom
SG: No. 123


First-principles (PBE) data for a relaxed structure of TaTlBrO3, as listed in the Alexandria database.

a b c (Å): 5.6427 4.9987 10.1360
angles (deg): 75.72 89.27 87.03
Last column: nearest neighbours and their distance in Å.
Atoms (fractional coordinates):
1 Ta 0.7500 0.0302 0.9396  5 O 1.85-1.97
2 Ta 0.2500 0.9698 0.0604  5 O 1.85-1.97
3 Tl 0.2500 0.3257 0.3486  2 O 2.69, 2 Br 2.83
4 Tl 0.7500 0.6743 0.6514  2 O 2.69, 2 Br 2.83
5 Br 0.2500 0.6864 0.6272  2 Tl 2.83
6 Br 0.7500 0.3136 0.3728  2 Tl 2.83
7 O 0.5060 0.7553 0.9938  2 Ta 1.97
8 O 0.9940 0.2508 0.9938  2 Ta 1.97
9 O 0.7500 0.1243 0.7515  1 Ta 1.85
10 O 0.4940 0.2447 0.0062  2 Ta 1.97
11 O 0.0060 0.7492 0.0062  2 Ta 1.97
12 O 0.2500 0.8757 0.2485  1 Ta 1.85

Computed properties:
energy relative to the elements, uncorrected: -1.71 eV/atom
SG: No. 15


First-principles (PBE) data for a relaxed structure of MgTc3As, as listed in the Alexandria database.

a b c (Å): 4.5716 4.5716 4.5716
angles (deg): 90.00 90.00 90.00
Last column: nearest neighbours and their distance in Å.
Atoms (fractional coordinates):
1 Mg 0.5000 0.5000 0.5000  12 Tc 3.23
2 As 0.0000 0.0000 0.0000  6 Tc 2.29
3 Tc 0.0000 0.5000 0.0000  2 As 2.29
4 Tc 0.0000 0.0000 0.5000  2 As 2.29
5 Tc 0.5000 0.0000 0.0000  2 As 2.29

Computed properties:
energy relative to the elements: 0.8620 eV/atom
E above lowest polymorph: 0 kJ/mol of formula units
SG: No. 221


First-principles (PBE) data for a relaxed structure of UAsS, as listed in the Alexandria database.

a b c (Å): 3.6324 3.6324 5.1404
angles (deg): 110.69 110.69 90.00
Last column: nearest neighbours and their distance in Å.
Atoms (fractional coordinates):
1 As 0.0132 0.0132 0.0265  1 S 2.69, 4 U 2.93
2 U 0.6718 0.6718 0.3436  5 S 2.87-3.18, 5 As 2.93-3.04
3 S 0.3149 0.3149 0.6299  1 As 2.69, 4 U 2.87

Computed properties:
energy relative to the elements, uncorrected: -0.76 eV/atom
SG: No. 107


First-principles (PBE) data for a relaxed structure of ZnAs2Ru, as listed in the Alexandria database.

a b c (Å): 4.3672 4.3672 3.3374
angles (deg): 90.00 90.00 90.00
Last column: nearest neighbours and their distance in Å.
Atoms (fractional coordinates):
1 As 0.0000 0.0000 0.0000  4 Ru 2.75, 4 Zn 2.75
2 As 0.5000 0.5000 0.0000  4 Ru 2.75, 4 Zn 2.75
3 Ru 0.5000 0.0000 0.5000  8 As 2.75
4 Zn 0.0000 0.5000 0.5000  8 As 2.75

Computed properties:
energy relative to the elements: 0.2374 eV/atom
SG: No. 123


First-principles (PBE) data for a relaxed structure of SiRh2Br, as listed in the Alexandria database.

a b c (Å): 5.0749 5.0749 3.1372
angles (deg): 72.12 72.12 108.89
Last column: nearest neighbours and their distance in Å.
Atoms (fractional coordinates):
1 Br 0.0000 0.5000 0.5000  4 Rh 2.54
2 Rh 0.0000 0.0000 0.0000  2 Br 2.54, 2 Si 2.54
3 Rh 0.5000 0.5000 0.0000  2 Si 2.54, 2 Br 2.54
4 Si 0.5000 0.0000 0.5000  4 Rh 2.54

Computed properties:
E above lowest polymorph: 259 kJ/mol of formula units
energy relative to the elements, uncorrected: 0.34 eV/atom
SG: No. 12